[1]
The following is a DFT calculation (PBE-GGA) of a relaxed structure of TeAsPPt2.

Summary:
E_form (uncorrected) in eV/atom: 0.893

Unit cell a=4.617 b=5.642 c=4.617 alpha=90.00 beta=90.00 gamma=90.00
Sites, in units of the cell vectors:
1 P 0.500 0.500 0.500
2 As 0.000 0.000 0.000
3 Te 0.000 0.500 0.000
4 Pt 0.000 0.000 0.500
5 Pt 0.500 0.000 0.000

=====

[2]
The following is a DFT calculation (PBE-GGA) of a relaxed structure of Dy2TmUAs4.

Summary:
Energy of formation from the pure elements in eV/atom: -1.322

Unit cell a=4.079 b=7.085 c=7.090 alpha=109.19 beta=90.00 gamma=90.00
Last column: magnetic moment on the atom in μB.
Sites, in units of the cell vectors:
1 Dy 0.500 0.000 0.500  0.02
2 Dy 0.000 0.500 0.500  0.02
3 Tm 0.500 0.500 0.000  0.01
4 U 0.000 0.000 0.000  2.13
5 As 0.500 0.249 0.247  -0.04
6 As 0.500 0.751 0.753  -0.04
7 As 0.000 0.250 0.755  -0.03
8 As 0.000 0.750 0.245  -0.03

=====

[3]
The following is a DFT calculation (PBE-GGA) of a relaxed structure of Ba3BiB.

Summary:
ΔE to the lowest computed polymorph in meV per atom: 0
Energy of formation from the pure elements in eV/atom: -0.081

Unit cell a=5.823 b=5.823 c=5.823 alpha=90.00 beta=90.00 gamma=90.00
Sites, in units of the cell vectors:
1 B 0.000 0.000 0.000
2 Bi 0.500 0.500 0.500
3 Ba 0.000 0.500 0.000
4 Ba 0.000 0.000 0.500
5 Ba 0.500 0.000 0.000